Below is a relaxed Li2MnCo2O6 crystal, with properties calculated at the PBE+U level.

a b c (Å): 5.733 5.919 6.731
angles (deg): 76.08 78.49 89.00
Space group P-1 (No. 2)
Symmetry-distinct sites (fractional):
Li 0.000 0.000 0.000 (multiplicity 1)
Li 0.181 0.659 0.344 (multiplicity 2)
Li 0.500 0.000 0.000 (multiplicity 1)
Mn 0.000 0.500 0.000 (multiplicity 1)
Mn 0.500 0.500 0.000 (multiplicity 1)
Co 0.171 0.168 0.336 (multiplicity 2)
Co 0.328 0.843 0.658 (multiplicity 2)
O 0.058 0.597 0.693 (multiplicity 2)
O 0.069 0.049 0.672 (multiplicity 2)
O 0.248 0.724 0.000 (multiplicity 2)
O 0.254 0.281 0.997 (multiplicity 2)
O 0.404 0.935 0.346 (multiplicity 2)
O 0.424 0.391 0.301 (multiplicity 2)

Values from the calculation:
**Raw total energy**: -66.13 eV per formula unit